Material: Tc2SbAs
Method: DFT, GGA-PBEsol
State: relaxed

Cell: 4.623 4.623 5.135 Å, 106.16 106.16 39.84°
Atoms (fractional coordinates):
Tc 0.000 0.000 0.000
Tc 0.239 0.239 0.626
Sb 0.481 0.481 0.423
As 0.718 0.718 0.985

Summary:
* SG: Cm (8)
* formation energy without anion corrections: 0.012 eV per atom

=====

Material: ZnTcN2F
Method: DFT, GGA-PBEsol
State: relaxed

Cell: 3.813 3.813 4.073 Å, 90.00 90.00 90.00°
Atoms (fractional coordinates):
Zn 0.000 0.000 0.000
Tc 0.500 0.500 0.500
N 0.000 0.500 0.500
N 0.500 0.000 0.500
F 0.500 0.500 0.000

Summary:
* SG: P4/mmm (123)
* formation energy without anion corrections: 0.007 eV per atom